Model a:
Compound: TaAuBr3
Source: the Alexandria database
Functional: GGA-PBE
Structure: relaxed

Computed properties:
- space group = Pm-3m, No. 221

```
TaAuBr3
1.0
-2.228 3.058 -3.455
-4.605 -1.231 1.880
0.292 3.922 3.284
Au Br Ta
1 3 1
Direct
0.500 0.500 0.500
0.500 0.000 0.000
0.000 0.000 0.500
0.000 0.500 0.000
0.000 0.000 0.000
```

---

Model b:
Compound: TaAuBr3
Source: the Alexandria database
Functional: GGA-PBE
Structure: relaxed

Computed properties:
- space group = Pm-3m, No. 221

```
TaAuBr3
1.0
5.278 0.000 0.000
0.000 5.278 0.000
0.000 0.000 5.278
Br Au Ta
3 1 1
Direct
0.000 0.500 0.000
0.500 0.000 0.000
0.000 0.000 0.500
0.000 0.000 0.000
0.500 0.500 0.500
```

---

The most stable arrangement is model a, and the next structure is 0.851 eV/atom less stable.

---

Model a:
Compound: Ta2AuBr
Source: the Alexandria database
Functional: GGA-PBE
Structure: relaxed

Computed properties:
- space group = P2/m, No. 10

```
Ta2AuBr
1.0
4.246 0.000 0.000
0.000 3.016 -0.094
0.000 0.250 5.921
Ta Au Br
2 1 1
Direct
0.000 0.746 0.486
0.000 0.754 0.014
0.500 0.250 0.250
0.500 0.750 0.750
```

---

Model b:
Compound: Ta2AuBr
Source: the Alexandria database
Functional: GGA-PBE
Structure: relaxed

Computed properties:
- space group = P4mm, No. 99

```
Ta2AuBr
1.0
3.011 0.053 0.000
-0.049 3.011 0.000
0.000 0.000 9.168
Ta Br Au
2 1 1
Direct
0.500 0.500 0.241
0.000 0.000 0.003
0.500 0.500 0.808
0.000 0.000 0.448
```

---

The most stable arrangement is model b, and the next structure is 0.282 eV/atom less stable.

---

Model a:
Compound: Ta2AuBr
Source: the Alexandria database
Functional: GGA-PBE
Structure: relaxed

Computed properties:
- space group = R3m, No. 160

```
Ta2AuBr
1.0
-2.976 -8.309 -5.051
-0.655 -7.441 -6.900
-0.077 -9.167 -4.400
Ta Br Au
2 1 1
Direct
0.252 0.252 0.252
0.002 0.002 0.002
0.733 0.733 0.733
0.512 0.512 0.512
```

---

Model b:
Compound: Ta2AuBr
Source: the Alexandria database
Functional: GGA-PBE
Structure: relaxed

Computed properties:
- space group = R-3m, No. 166

```
Ta2AuBr
1.0
9.311 -0.002 -0.001
8.812 3.005 -0.001
8.812 1.460 2.627
Br Ta Au
1 2 1
Direct
0.750 0.750 0.750
0.499 0.499 0.499
0.001 0.001 0.001
0.250 0.250 0.250
```

---

Model c:
Compound: Ta2AuBr
Source: the Alexandria database
Functional: GGA-PBE
Structure: relaxed

Computed properties:
- space group = P4/mmm, No. 123

```
Ta2AuBr
1.0
4.514 0.000 0.000
0.000 4.118 0.000
0.000 0.000 4.118
Ta Br Au
2 1 1
Direct
0.000 0.000 0.000
0.000 0.500 0.500
0.500 0.000 0.500
0.500 0.500 0.000
```

---

Model d:
Compound: Ta2AuBr
Source: the Alexandria database
Functional: GGA-PBE
Structure: relaxed

Computed properties:
- space group = Immm, No. 71

```
Ta2AuBr
1.0
-4.047 3.351 -1.830
-2.778 -1.814 -4.466
1.381 -0.953 5.305
Au Ta Br
1 2 1
Direct
0.750 0.250 0.500
0.493 0.493 0.000
0.007 0.007 0.000
0.250 0.750 0.500
```

---

The most stable arrangement is model a, and the next structure is 0.209 eV/atom less stable.

---

Model a:
Compound: Tc2Au2Br
Source: the Alexandria database
Functional: GGA-PBE
Structure: relaxed

Computed properties:
- space group = P4/mbm, No. 127

```
Tc2Au2Br
1.0
-0.324 -0.913 6.552
-5.312 -3.874 -0.803
2.479 -3.329 -0.341
Tc Au Br
4 4 2
Direct
0.874 0.626 0.000
0.626 0.126 0.000
0.126 0.374 0.000
0.374 0.874 0.000
0.170 0.670 0.500
0.670 0.830 0.500
0.830 0.330 0.500
0.330 0.170 0.500
0.000 0.000 0.000
0.500 0.500 0.000
```

---

Model b:
Compound: Tc2Au2Br
Source: the Alexandria database
Functional: GGA-PBE
Structure: relaxed

Computed properties:
- space group = I4/mmm, No. 139

```
Tc2Au2Br
1.0
3.968 0.000 0.000
0.000 3.968 0.000
1.984 1.984 6.207
Tc Au Br
2 2 1
Direct
0.588 0.588 0.824
0.412 0.412 0.176
0.250 0.750 0.500
0.750 0.250 0.500
0.000 0.000 0.000
```

---

The most stable arrangement is model a, and the next structure is 0.129 eV/atom less stable.